The following is a DFT calculation (PBE) of crystalline Na3HfCr2Se6 at its relaxed geometry.

Cell lengths 6.6509, 6.6509, 7.3043 Å; angles 98.74, 98.74, 120.00 degrees
Closest atoms and distances in Å follow each position.
Element x y z (fractional)
Na 0.1655 0.8345 0.5000  6 Se 2.98-3.02
Na 0.8345 0.1655 0.5000  6 Se 2.98-3.02
Na 0.5000 0.5000 0.5000  6 Se 2.97-3.02
Hf 0.0000 0.0000 0.0000  6 Se 2.69
Cr 0.3331 0.6669 0.0000  6 Se 2.63-2.64
Cr 0.6669 0.3331 0.0000  6 Se 2.63-2.64
Se 0.9301 0.5905 0.7905  2 Cr 2.63-2.64, 1 Hf 2.69
Se 0.7299 0.7299 0.2093  2 Cr 2.64, 1 Hf 2.69
Se 0.0699 0.4095 0.2095  2 Cr 2.63-2.64, 1 Hf 2.69
Se 0.5905 0.9301 0.7905  2 Cr 2.63-2.64, 1 Hf 2.69
Se 0.2701 0.2701 0.7907  2 Cr 2.64, 1 Hf 2.69
Se 0.4095 0.0699 0.2095  2 Cr 2.63-2.64, 1 Hf 2.69

uncorrected formation energy: -1112 kJ/mol of formula units


The following is a DFT calculation (PBE) of crystalline Tl2CuOsO4 at its relaxed geometry.

Cell lengths 5.6097, 6.2946, 10.3367 Å; angles 83.06, 74.26, 63.54 degrees
Closest atoms and distances in Å follow each position.
Element x y z (fractional)
Tl 0.1682 0.0000 0.6635  2 O 2.77
Tl 0.8318 0.0000 0.3365  2 O 2.77
Tl 0.5818 0.5000 0.8365  2 O 2.77
Tl 0.9182 0.5000 0.1635  2 O 2.77
Cu 0.7500 0.5000 0.5000  4 O 2.06
Cu 0.0000 0.0000 0.0000  4 O 2.06
Os 0.2500 0.5000 0.5000  4 O 1.86
Os 0.5000 0.0000 0.0000  4 O 1.86
O 0.2814 0.8721 0.1168  1 Os 1.86, 1 Cu 2.06
O 0.2703 0.1279 0.8832  1 Os 1.86, 1 Cu 2.06
O 0.8465 0.8721 0.8832  1 Os 1.86, 1 Cu 2.06
O 0.6019 0.1279 0.1168  1 Os 1.86, 1 Cu 2.06
O 0.4686 0.6279 0.3832  1 Os 1.86, 1 Cu 2.06
O 0.4797 0.3721 0.6168  1 Os 1.86, 1 Cu 2.06
O 0.9035 0.6279 0.6168  1 Os 1.86, 1 Cu 2.06
O 0.1481 0.3721 0.3832  1 Os 1.86, 1 Cu 2.06

uncorrected formation energy: -370 kJ/mol of formula units